Model A:
First-principles (PBE) data for a relaxed structure of HfZr2Cu2, as listed in Alexandria via LeMat-Bulk.

Geometry as POSCAR:
```
HfZr2Cu2
1.0
4.0022 0.0000 0.0000
2.0011 4.9877 0.2453
2.0011 1.3329 4.8125
Cu Zr Hf
2 2 1
Direct
0.5000 0.2937 0.7063
0.5000 0.7063 0.2937
0.2001 0.2999 0.2999
0.7999 0.7001 0.7001
0.0000 0.0000 0.0000
```



Model B:
First-principles (PBE) data for a relaxed structure of HfZr2Cu2, as listed in Alexandria via LeMat-Bulk.

Geometry as POSCAR:
```
HfZr2Cu2
1.0
-0.7538 3.5653 -6.6779
2.1810 -6.3241 -3.6226
-3.0584 -0.9592 -0.1669
Zr Cu Hf
4 4 2
Direct
0.6747 0.8253 0.5000
0.8253 0.3253 0.5000
0.1747 0.6747 0.5000
0.3253 0.1747 0.5000
0.3799 0.8799 0.0000
0.1201 0.3799 0.0000
0.8799 0.6201 0.0000
0.6201 0.1201 0.0000
0.0000 0.0000 0.0000
0.5000 0.5000 0.0000
```



Model C:
First-principles (PBE) data for a relaxed structure of HfZr2Cu2, as listed in Alexandria via LeMat-Bulk.

Geometry as POSCAR:
```
HfZr2Cu2
1.0
3.2772 0.0000 0.0000
0.0000 3.2772 0.0000
1.6386 1.6386 9.1306
Cu Zr Hf
2 2 1
Direct
0.2500 0.7500 0.5000
0.7500 0.2500 0.5000
0.3818 0.3818 0.2365
0.6182 0.6182 0.7635
0.0000 0.0000 0.0000
```



Stability, lowest: model C



Model A:
First-principles (PBE) data for a relaxed structure of HfZr3Cu, as listed in Alexandria via LeMat-Bulk.

Geometry as POSCAR:
```
HfZr3Cu
1.0
3.0249 0.0000 -0.4165
0.0000 4.9458 0.0000
0.3876 0.0000 14.0085
Zr Cu Hf
6 2 2
Direct
0.3711 0.2500 0.7423
0.3112 0.7500 0.6224
0.6289 0.7500 0.2577
0.4746 0.2500 0.9492
0.5254 0.7500 0.0508
0.6888 0.2500 0.3776
0.7852 0.2500 0.5704
0.2148 0.7500 0.4296
0.0812 0.2500 0.1624
0.9188 0.7500 0.8376
```



Model B:
First-principles (PBE) data for a relaxed structure of HfZr3Cu, as listed in Alexandria via LeMat-Bulk.

Geometry as POSCAR:
```
HfZr3Cu
1.0
-2.2579 -1.6837 -4.0381
-3.1379 -2.5434 2.8150
-3.0488 3.8647 0.0933
Zr Hf Cu
3 1 1
Direct
0.0000 0.0000 0.5000
0.0000 0.5000 0.0000
0.5000 0.0000 0.0000
0.5000 0.5000 0.5000
0.0000 0.0000 0.0000
```



Model C:
First-principles (PBE) data for a relaxed structure of HfZr3Cu, as listed in Alexandria via LeMat-Bulk.

Geometry as POSCAR:
```
HfZr3Cu
1.0
-1.1403 -4.0773 -2.9087
-0.3473 -2.9116 4.2175
-4.9965 1.1330 0.3706
Zr Cu Hf
3 1 1
Direct
0.5000 0.0000 0.0000
0.0000 0.0000 0.5000
0.0000 0.5000 0.0000
0.5000 0.5000 0.5000
0.0000 0.0000 0.0000
```



Stability, lowest: model C



Model A:
First-principles (PBE) data for a relaxed structure of Hf2Zr2Cu, as listed in Alexandria via LeMat-Bulk.

Geometry as POSCAR:
```
Hf2Zr2Cu
1.0
7.0381 0.0000 0.0000
0.0000 7.0381 0.0000
0.0000 0.0000 4.4203
Hf Zr Cu
4 4 2
Direct
0.1517 0.6517 0.5000
0.3483 0.1517 0.5000
0.8483 0.3483 0.5000
0.6517 0.8483 0.5000
0.1483 0.3517 0.0000
0.8517 0.6483 0.0000
0.6483 0.1483 0.0000
0.3517 0.8517 0.0000
0.0000 0.0000 0.0000
0.5000 0.5000 0.0000
```



Model B:
First-principles (PBE) data for a relaxed structure of Hf2Zr2Cu, as listed in Alexandria via LeMat-Bulk.

Geometry as POSCAR:
```
Hf2Zr2Cu
1.0
6.9898 0.0000 0.0000
0.0000 6.9898 0.0000
0.0000 0.0000 4.4614
Zr Hf Cu
4 4 2
Direct
0.6525 0.8475 0.5000
0.8475 0.3475 0.5000
0.3475 0.1525 0.5000
0.1525 0.6525 0.5000
0.8514 0.6486 0.0000
0.6486 0.1486 0.0000
0.3514 0.8514 0.0000
0.1486 0.3514 0.0000
0.5000 0.5000 0.0000
0.0000 0.0000 0.0000
```



Stability, lowest: model A



Model A:
First-principles (PBE) data for a relaxed structure of HfZrCu3, as listed in Alexandria via LeMat-Bulk.

Geometry as POSCAR:
```
HfZrCu3
1.0
-3.6159 -2.9399 -0.2065
2.6467 -3.0957 -2.2742
1.2963 -1.8800 4.0676
Cu Hf Zr
3 1 1
Direct
0.0000 0.0000 0.5000
0.5000 0.0000 0.0000
0.0000 0.5000 0.0000
0.0000 0.0000 0.0000
0.5000 0.5000 0.5000
```



Model B:
First-principles (PBE) data for a relaxed structure of HfZrCu3, as listed in Alexandria via LeMat-Bulk.

Geometry as POSCAR:
```
HfZrCu3
1.0
-2.0262 -1.6724 -1.4982
-2.1391 -0.6339 3.6006
-5.8909 11.2350 -1.5218
Cu Zr Hf
6 2 2
Direct
0.5241 0.7500 0.0481
0.3254 0.7500 0.6509
0.4759 0.2500 0.9519
0.3793 0.2500 0.7587
0.6207 0.7500 0.2413
0.6746 0.2500 0.3491
0.9265 0.7500 0.8531
0.0735 0.2500 0.1469
0.2112 0.7500 0.4225
0.7888 0.2500 0.5775
```



Stability, lowest: model A



Model A:
First-principles (PBE) data for a relaxed structure of HfZrCu, as listed in Alexandria via LeMat-Bulk.

Geometry as POSCAR:
```
HfZrCu
1.0
6.3941 0.0000 0.0002
0.0000 3.1963 0.0000
-3.1933 0.0000 11.2811
Zr Cu Hf
4 4 4
Direct
0.3262 0.5000 0.1559
0.3262 0.0000 0.6559
0.6738 0.0000 0.3441
0.6738 0.5000 0.8441
0.5000 0.5000 0.5000
0.0000 0.5000 0.5000
0.0000 0.0000 0.0000
0.5000 0.0000 0.0000
0.8294 0.5000 0.1555
0.8294 0.0000 0.6555
0.1706 0.5000 0.8445
0.1706 0.0000 0.3445
```



Model B:
First-principles (PBE) data for a relaxed structure of HfZrCu, as listed in Alexandria via LeMat-Bulk.

Geometry as POSCAR:
```
HfZrCu
1.0
6.0537 -0.0091 -0.0077
0.8500 3.0898 -0.0092
-0.0024 -3.3301 3.0885
Cu Zr Hf
1 1 1
Direct
0.1078 0.7294 0.0749
0.7804 0.0570 0.7388
0.4025 0.4350 0.4274
```



Model C:
First-principles (PBE) data for a relaxed structure of HfZrCu, as listed in Alexandria via LeMat-Bulk.

Geometry as POSCAR:
```
HfZrCu
1.0
-2.3592 -1.3137 1.7652
2.8331 -3.3760 1.2739
-0.2660 3.8373 2.5002
Hf Cu Zr
1 1 1
Direct
0.1132 0.0000 0.0000
0.2498 0.3333 0.6667
0.6370 0.6667 0.3333
```



Stability, lowest: model C



Model A:
First-principles (PBE) data for a relaxed structure of HfZrCu, as listed in Alexandria via LeMat-Bulk.

Geometry as POSCAR:
```
HfZrCu
1.0
-0.7570 2.8557 3.4093
-4.3346 0.3593 -1.2635
-0.9552 -5.7644 1.6353
Cu Zr Hf
2 2 2
Direct
0.2503 0.7500 0.5006
0.7497 0.2500 0.4994
0.5949 0.7500 0.1896
0.4051 0.2500 0.8104
0.0940 0.2500 0.1881
0.9060 0.7500 0.8119
```



Model B:
First-principles (PBE) data for a relaxed structure of HfZrCu, as listed in Alexandria via LeMat-Bulk.

Geometry as POSCAR:
```
HfZrCu
1.0
-6.2714 2.5442 0.9520
0.8868 -6.1659 2.6794
-0.5095 -0.1448 6.8139
Cu Hf Zr
4 4 4
Direct
0.5358 0.1602 0.8051
0.0347 0.8398 0.6244
0.6256 0.3398 0.2153
0.4449 0.6602 0.7142
0.2823 0.2844 0.5556
0.1599 0.7156 0.0021
0.6944 0.7844 0.9677
0.2479 0.2156 0.0901
0.8395 0.1762 0.4539
0.3700 0.8238 0.3366
0.9134 0.3238 0.8800
0.7961 0.6762 0.4105
```



Stability, lowest: model B



Model A:
First-principles (PBE) data for a relaxed structure of CuHg3, as listed in Alexandria via LeMat-Bulk.

Geometry as POSCAR:
```
CuHg3
1.0
-1.3317 2.5992 4.5844
-5.0739 -1.8468 0.6248
5.1680 -1.6845 0.0010
Cu Hg
1 3
Direct
0.9317 0.0000 0.9317
0.3545 0.6976 0.6569
0.9594 0.3024 0.6569
0.5878 0.5000 0.0878
```



Model B:
First-principles (PBE) data for a relaxed structure of CuHg3, as listed in Alexandria via LeMat-Bulk.

Geometry as POSCAR:
```
CuHg3
1.0
1.4819 -0.1025 7.4437
-4.7220 -5.1298 -3.0006
2.9397 -2.3448 -0.6175
Hg Cu
6 2
Direct
0.1847 0.3695 0.7500
0.6305 0.8153 0.7500
0.1847 0.8153 0.7500
0.8153 0.1847 0.2500
0.8153 0.6305 0.2500
0.3695 0.1847 0.2500
0.6667 0.3333 0.7500
0.3333 0.6667 0.2500
```



Stability, lowest: model B



Model A:
First-principles (PBE) data for a relaxed structure of CuHg3, as listed in Alexandria via LeMat-Bulk.

Geometry as POSCAR:
```
CuHg3
1.0
-1.4465 -4.0047 -4.3913
6.0941 -3.5114 1.1948
-3.8132 -4.7245 5.5646
Cu Hg
4 12
Direct
0.9512 0.3541 0.7500
0.5488 0.8541 0.7500
0.4512 0.1459 0.2500
0.0488 0.6459 0.2500
0.3702 0.5083 0.7500
0.6498 0.1731 0.9427
0.6498 0.1731 0.5573
0.8502 0.6731 0.5573
0.1498 0.3269 0.4427
0.8702 0.9917 0.2500
0.1498 0.3269 0.0573
0.3502 0.8269 0.4427
0.6298 0.4917 0.2500
0.8502 0.6731 0.9427
0.3502 0.8269 0.0573
0.1298 0.0083 0.7500
```



Model B:
First-principles (PBE) data for a relaxed structure of CuHg3, as listed in Alexandria via LeMat-Bulk.

Geometry as POSCAR:
```
CuHg3
1.0
3.4495 0.0000 0.0000
0.0000 8.9184 -0.1814
-1.7248 -0.6076 2.9249
Cu Hg
1 3
Direct
0.0000 0.0000 0.0000
0.2622 0.7865 0.5243
0.5000 0.5000 0.0000
0.7378 0.2135 0.4757
```



Stability, lowest: model B



Model A:
First-principles (PBE) data for a relaxed structure of CuHg3, as listed in Alexandria via LeMat-Bulk.

Geometry as POSCAR:
```
CuHg3
1.0
-3.9961 1.7916 2.2687
-2.8664 -2.9921 2.6751
-0.0737 0.4002 4.9153
Cu Hg
1 3
Direct
0.0000 0.0000 0.0000
0.7500 0.7500 0.7500
0.2500 0.2500 0.2500
0.5000 0.5000 0.5000
```



Model B:
First-principles (PBE) data for a relaxed structure of CuHg3, as listed in Alexandria via LeMat-Bulk.

Geometry as POSCAR:
```
CuHg3
1.0
-2.0825 2.0518 -1.9104
-1.0091 -4.0833 -3.2857
-7.9148 -2.6749 5.7551
Hg Cu
6 2
Direct
0.7458 0.0000 0.5000
0.2481 0.5000 0.7002
0.2542 0.5000 0.0000
0.7519 0.0000 0.7998
0.7519 0.0000 0.2002
0.2481 0.5000 0.2998
0.2517 0.0000 0.0000
0.7483 0.5000 0.5000
```



Stability, lowest: model A



Model A:
First-principles (PBE) data for a relaxed structure of CuHg3, as listed in Alexandria via LeMat-Bulk.

Geometry as POSCAR:
```
CuHg3
1.0
-0.7097 -2.8380 -2.3956
-1.5865 -4.0402 3.2669
-3.9020 2.0027 -3.2058
Hg Cu
3 1
Direct
0.5000 0.5000 0.0000
0.5000 0.0000 0.5000
0.0000 0.5000 0.5000
0.0000 0.0000 0.0000
```



Model B:
First-principles (PBE) data for a relaxed structure of CuHg3, as listed in Alexandria via LeMat-Bulk.

Geometry as POSCAR:
```
CuHg3
1.0
-2.4505 2.4505 7.5494
2.4505 -2.4505 7.5494
2.4505 2.4505 -7.5494
Hg Cu
6 2
Direct
0.0000 0.5000 0.5000
0.8675 0.8675 0.0000
0.5000 0.0000 0.5000
0.1325 0.1325 0.0000
0.2500 0.7500 0.5000
0.7500 0.2500 0.5000
0.5835 0.5835 0.0000
0.4165 0.4165 0.0000
```



Stability, lowest: model A